The following is a DFT calculation (PBE-GGA) of a relaxed structure of NaTcPtO2.

Formation energy without anion corrections = 0.88 eV per atom

```
data_NaTcPtO2
_chemical_formula_sum 'Na1 Tc1 Pt1 O2'
_space_group_name_H-M_alt 'P 1'
_space_group_IT_number 1
_cell_length_a 4.026
_cell_length_b 4.026
_cell_length_c 5.127
_cell_angle_alpha 90.00
_cell_angle_beta 90.00
_cell_angle_gamma 90.00
loop_
_space_group_symop_operation_xyz
'x,y,z'
loop_
_atom_site_label
_atom_site_fract_x
_atom_site_fract_y
_atom_site_fract_z
Na1 0.000 0.000 0.000
Tc1 0.500 0.500 0.000
Pt1 0.000 0.000 0.500
O1 0.000 0.500 0.500
O2 0.500 0.000 0.500
```